A relaxed Ce2Al4CuPd3 crystal. Source: Alexandria, functional PBE-GGA.

abc: 4.3167 4.3167 10.2195
angles: 90.00 90.00 90.00
With the nearest neighbours (Å) after each atom.
Fractional positions:
Ce: 0.0000 0.5000 0.2463  6 Pd 3.29-3.32, 8 Al 3.30-3.37, 2 Cu 3.32
Ce: 0.5000 0.0000 0.7537  6 Pd 3.29-3.32, 8 Al 3.30-3.37, 2 Cu 3.32
Al: 0.0000 0.0000 0.5000  4 Pd 2.55
Al: 0.0000 0.5000 0.8773  3 Pd 2.49-2.50, 2 Cu 2.50
Al: 0.5000 0.0000 0.1227  3 Pd 2.49-2.50, 2 Cu 2.50
Al: 0.5000 0.5000 0.5000  4 Pd 2.55
Cu: 0.5000 0.5000 0.0000  4 Al 2.50
Pd: 0.0000 0.0000 0.0000  4 Al 2.50
Pd: 0.0000 0.5000 0.6334  5 Al 2.49-2.55
Pd: 0.5000 0.0000 0.3666  5 Al 2.49-2.55

Formation energy, eV per atom: -0.691